1.
Density functional theory data (PBE-GGA) for a relaxed structure of NdDy2In4.

**Spin magnetization**: 0.00 μB per formula unit
**Formation energy**: -0.186 eV per atom
**Energy above the lowest structure with this stoichiometry**: 0.0966 eV per atom

```
data_NdDy2In4
_chemical_formula_sum 'Nd2 Dy4 In8'
_cell_length_a 5.962
_cell_length_b 5.962
_cell_length_c 11.625
_cell_angle_alpha 90.00
_cell_angle_beta 90.00
_cell_angle_gamma 90.00
_symmetry_space_group_name_H-M 'I 4/m m m'
_symmetry_Int_Tables_number 139
_symmetry_space_group_name_Hall '-I 4 2'
loop_
_atom_site_label
_atom_site_fract_x
_atom_site_fract_y
_atom_site_fract_z
Nd1 0.000 0.000 0.000
Dy1 0.000 0.000 0.355
In1 0.000 0.500 0.000
In2 0.000 0.500 0.250
```

***

2.
Density functional theory data (PBE-GGA) for a relaxed structure of CsKPr2I8.

**Spin magnetization**: 0.00 μB per formula unit
**E_form (uncorrected)**: -1401 meV/atom

```
data_CsKPr2I8
_chemical_formula_sum 'Cs1 K1 Pr2 I8'
_cell_length_a 8.5381
_cell_length_b 8.5381
_cell_length_c 9.6686
_cell_angle_alpha 90.00
_cell_angle_beta 90.00
_cell_angle_gamma 120.00
_symmetry_space_group_name_H-M 'P -3'
_symmetry_Int_Tables_number 147
_symmetry_space_group_name_Hall '-P 3'
loop_
_atom_site_label
_atom_site_fract_x
_atom_site_fract_y
_atom_site_fract_z
Cs1 0.0000 0.0000 0.0000
K1 0.0000 0.0000 0.5000
Pr1 0.3333 0.6667 0.4111
I1 0.0614 0.3863 0.6557
I2 0.3333 0.6667 0.0948
```

***

3.
Density functional theory data (PBE-GGA) for a relaxed structure of Mg2CrRe.

**Spin magnetization**: 0.88 μB per formula unit
**Formation energy**: 0.405 eV per atom
**Energy above the lowest structure with this stoichiometry**: 0.2479 eV per atom

```
data_Mg2CrRe
_chemical_formula_sum 'Mg4 Cr2 Re2'
_cell_length_a 3.215
_cell_length_b 4.220
_cell_length_c 9.159
_cell_angle_alpha 90.00
_cell_angle_beta 90.00
_cell_angle_gamma 90.00
_symmetry_space_group_name_H-M 'I m m m'
_symmetry_Int_Tables_number 71
_symmetry_space_group_name_Hall '-I 2 2'
loop_
_atom_site_label
_atom_site_fract_x
_atom_site_fract_y
_atom_site_fract_z
Mg1 0.000 0.000 0.246
Cr1 0.000 0.500 0.500
Re1 0.000 0.500 0.000
```

***

spin magnetization of number 3 (Mg2CrRe)?
0.88 μB per formula unit

***

spin magnetization of number 1 (NdDy2In4)?
0.00 μB per formula unit